Density functional theory data (PBE) for TlCoTe2 after structural relaxation.

Cell lengths 9.4977, 9.4977, 9.4977 Å; angles 21.65, 21.65, 21.65 degrees
With the nearest neighbours (Å) after each atom.
Positions (direct):
Co 0.7449 0.7449 0.7449  3 Te 2.45
Te 0.0302 0.0302 0.0302  3 Co 2.45
Te 0.2413 0.2413 0.2413  3 Tl 3.27, 6 Te 3.57
Tl 0.4836 0.4836 0.4836  3 Co 2.87

The value obtained for the uncorrected formation energy is 0.16 eV/atom. As for the total moment: 0.000 μB per atom.